Computed, not measured: a relaxed structure of TaGe2Rh at the GGA-PBE level of DFT.

It has space group R-3m (No. 166, hexagonal axes), with a = 2.9633 Å, b = 2.9633 Å, c = 27.4235 Å, α = 90.00°, β = 90.00° and γ = 120.00°. The asymmetric unit holds Ta at (0.0000, 0.0000, 0.0000), Ge at (0.0000, 0.0000, 0.0969) and Rh at (0.0000, 0.0000, 0.5000).

As for the total energy: -85.0 eV/cell. The magnetic moment comes out at 0.000 μB/atom. The value obtained for the formation energy is 0.0257 eV per atom. The crystal system is trigonal.


Computed, not measured: a relaxed structure of TaGe3Rh at the GGA-PBE level of DFT.

It has space group Pm-3m (No. 221), with a = 4.9431 Å, b = 4.9431 Å, c = 4.9431 Å, α = 90.00°, β = 90.00° and γ = 90.00°. The asymmetric unit holds Ta at (0.0000, 0.0000, 0.0000), Ge at (0.0000, 0.0000, 0.5000) and Rh at (0.5000, 0.5000, 0.5000).

As for the total energy: -28.3 eV/cell. The relative energy among the computed polymorphs comes out at 68 meV per atom. The magnetic moment comes out at 0.340 μB/atom. The value obtained for the formation energy is 0.9500 eV per atom. The crystal system is cubic.


Computed, not measured: a relaxed structure of TaGe2Rh at the GGA-PBE level of DFT.

It has space group P4/mmm (No. 123), with a = 4.5066 Å, b = 4.5066 Å, c = 3.0701 Å, α = 90.00°, β = 90.00° and γ = 90.00°. The asymmetric unit holds Ta at (0.0000, 0.0000, 0.0000), Ge at (0.0000, 0.5000, 0.5000) and Rh at (0.5000, 0.5000, 0.0000).

As for the total energy: -29.4 eV/cell. The magnetic moment comes out at 0.000 μB/atom. The value obtained for the formation energy is -0.2525 eV per atom. The crystal system is tetragonal.


Computed, not measured: a relaxed structure of TaGe2Rh at the GGA-PBE level of DFT.

It has space group Fm-3m (No. 225), with a = 6.3102 Å, b = 6.3102 Å, c = 6.3102 Å, α = 90.00°, β = 90.00° and γ = 90.00°. The asymmetric unit holds Ta at (0.0000, 0.0000, 0.0000), Ge at (0.2500, 0.2500, 0.2500) and Rh at (0.0000, 0.0000, 0.5000).

As for the total energy: -115.0 eV/cell. The magnetic moment comes out at 0.000 μB/atom. The value obtained for the formation energy is -0.0754 eV per atom. The crystal system is cubic.


> Number 1 is which compound?

TaGe2Rh


> The highest formation energy belongs to which entry?

TaGe3Rh


> Look up the magnetic moment of the second one.

0.340 μB/atom


> magnetic moment of number 3 (TaGe2Rh)?

0.000 μB/atom